(1)
Tl2HgPbCl6: optimized geometry, PBE-GGA.

```
data_Tl2HgPbCl6
_chemical_formula_sum 'Tl6 Hg3 Pb3 Cl18'
_symmetry_space_group_name_H-M 'R 3'
_symmetry_Int_Tables_number 146
_symmetry_space_group_name_Hall 'R 3'
_cell_length_a 7.6677
_cell_length_b 7.6677
_cell_length_c 19.0461
_cell_angle_alpha 90.00
_cell_angle_beta 90.00
_cell_angle_gamma 120.00
loop_
_atom_site_label
_atom_site_type_symbol
_atom_site_fract_x
_atom_site_fract_y
_atom_site_fract_z
_atom_site_occupancy
Tl1 Tl 0.0000 0.0000 0.0000 1
Tl2 Tl 0.0000 0.0000 0.4990 1
Hg1 Hg 0.0000 0.0000 0.2216 1
Pb1 Pb 0.0000 0.0000 0.7212 1
Cl1 Cl 0.0826 0.3346 0.2918 1
Cl2 Cl 0.0926 0.7354 0.7966 1
```

---

(2)
Tl2HgPb3Cl8: optimized geometry, PBE-GGA.

```
data_Tl2HgPb3Cl8
_chemical_formula_sum 'Tl6 Hg3 Pb9 Cl24'
_symmetry_space_group_name_H-M 'R 3 m'
_symmetry_Int_Tables_number 160
_symmetry_space_group_name_Hall 'R 3 -2"'
_cell_length_a 8.7439
_cell_length_b 8.7439
_cell_length_c 24.7416
_cell_angle_alpha 90.00
_cell_angle_beta 90.00
_cell_angle_gamma 120.00
loop_
_atom_site_label
_atom_site_type_symbol
_atom_site_fract_x
_atom_site_fract_y
_atom_site_fract_z
_atom_site_occupancy
Tl1 Tl 0.0000 0.0000 0.0000 1
Tl2 Tl 0.0000 0.0000 0.3736 1
Hg1 Hg 0.0000 0.0000 0.6416 1
Pb1 Pb 0.0030 0.5015 0.5017 1
Cl1 Cl 0.0000 0.0000 0.2336 1
Cl2 Cl 0.0000 0.0000 0.7752 1
Cl3 Cl 0.0256 0.5128 0.7633 1
Cl4 Cl 0.1863 0.3726 0.5648 1
```

---

(3)
Tl2HgPbCl4: optimized geometry, PBE-GGA.

```
data_Tl2HgPbCl4
_chemical_formula_sum 'Tl4 Hg2 Pb2 Cl8'
_symmetry_space_group_name_H-M 'C 1 2/m 1'
_symmetry_Int_Tables_number 12
_symmetry_space_group_name_Hall '-C 2y'
_cell_length_a 14.1508
_cell_length_b 4.3991
_cell_length_c 9.0972
_cell_angle_alpha 90.00
_cell_angle_beta 111.49
_cell_angle_gamma 90.00
loop_
_atom_site_label
_atom_site_type_symbol
_atom_site_fract_x
_atom_site_fract_y
_atom_site_fract_z
_atom_site_occupancy
Tl1 Tl 0.2058 0.0000 0.2081 1
Hg1 Hg 0.0000 0.5000 0.0000 1
Pb1 Pb 0.0000 0.0000 0.5000 1
Cl1 Cl 0.1189 0.5000 0.4367 1
Cl2 Cl 0.1502 0.0000 0.8193 1
```

---

(4)
VHgPbCl6: optimized geometry, PBE-GGA.

```
data_VHgPbCl6
_chemical_formula_sum 'V1 Hg1 Pb1 Cl6'
_symmetry_space_group_name_H-M 'P 3 1 2'
_symmetry_Int_Tables_number 149
_symmetry_space_group_name_Hall 'P 3 2'
_cell_length_a 6.9249
_cell_length_b 6.9249
_cell_length_c 7.9585
_cell_angle_alpha 90.00
_cell_angle_beta 90.00
_cell_angle_gamma 120.00
loop_
_atom_site_label
_atom_site_type_symbol
_atom_site_fract_x
_atom_site_fract_y
_atom_site_fract_z
_atom_site_occupancy
V1 V 0.0000 0.0000 0.0000 1
Hg1 Hg 0.3333 0.6667 0.5000 1
Pb1 Pb 0.6667 0.3333 0.0000 1
Cl1 Cl 0.2762 0.0047 0.1724 1
```

---

(5)
ZnHgPbCl4: optimized geometry, PBE-GGA.

```
data_ZnHgPbCl4
_chemical_formula_sum 'Zn4 Hg4 Pb4 Cl16'
_symmetry_space_group_name_H-M 'C 1 2/m 1'
_symmetry_Int_Tables_number 12
_symmetry_space_group_name_Hall '-C 2y'
_cell_length_a 13.2651
_cell_length_b 9.0659
_cell_length_c 8.4735
_cell_angle_alpha 90.00
_cell_angle_beta 108.28
_cell_angle_gamma 90.00
loop_
_atom_site_label
_atom_site_type_symbol
_atom_site_fract_x
_atom_site_fract_y
_atom_site_fract_z
_atom_site_occupancy
Zn1 Zn 0.1516 0.0000 0.2958 1
Hg1 Hg 0.0358 0.5000 0.8019 1
Pb1 Pb 0.2321 0.0000 0.8850 1
Cl1 Cl 0.0205 0.0000 0.7056 1
Cl2 Cl 0.1759 0.1916 0.1268 1
Cl3 Cl 0.2300 0.5000 0.4486 1
```

---

(6)
# HgPdCl3 PBE-GGA optimized geometry
# distance to the lowest polymorph of the same formula: 0.000 eV/f.u.
data_HgPdCl3
_chemical_formula_sum 'Hg1 Pd1 Cl3'
_symmetry_space_group_name_H-M 'P m -3 m'
_symmetry_Int_Tables_number 221
_symmetry_space_group_name_Hall '-P 4 2 3'
_cell_length_a 4.9035
_cell_length_b 4.9035
_cell_length_c 4.9035
_cell_angle_alpha 90.00
_cell_angle_beta 90.00
_cell_angle_gamma 90.00
loop_
_atom_site_label
_atom_site_type_symbol
_atom_site_fract_x
_atom_site_fract_y
_atom_site_fract_z
_atom_site_occupancy
Hg1 Hg 0.0000 0.0000 0.0000 1
Pd1 Pd 0.5000 0.5000 0.5000 1
Cl1 Cl 0.0000 0.5000 0.5000 1

---

(7)
Hg6PdCl2: optimized geometry, PBE-GGA.

```
data_Hg6PdCl2
_chemical_formula_sum 'Hg24 Pd4 Cl8'
_symmetry_space_group_name_H-M 'C 1 2/c 1'
_symmetry_Int_Tables_number 15
_symmetry_space_group_name_Hall '-C 2yc'
_cell_length_a 8.1557
_cell_length_b 12.2801
_cell_length_c 9.4327
_cell_angle_alpha 90.00
_cell_angle_beta 96.79
_cell_angle_gamma 90.00
loop_
_atom_site_label
_atom_site_type_symbol
_atom_site_fract_x
_atom_site_fract_y
_atom_site_fract_z
_atom_site_occupancy
Hg1 Hg 0.0857 0.1097 0.4802 1
Hg2 Hg 0.1806 0.4368 0.7586 1
Hg3 Hg 0.2060 0.1978 0.8484 1
Pd1 Pd 0.0000 0.0271 0.7500 1
Cl1 Cl 0.0751 0.3341 0.4335 1
```

---

(8)
# HgPd2Cl PBE-GGA optimized geometry
# distance to the lowest polymorph of the same formula: 0.106 eV/f.u.
data_HgPd2Cl
_chemical_formula_sum 'Hg4 Pd8 Cl4'
_symmetry_space_group_name_H-M 'I -4 2 d'
_symmetry_Int_Tables_number 122
_symmetry_space_group_name_Hall 'I -4 2bw'
_cell_length_a 4.7223
_cell_length_b 4.7223
_cell_length_c 15.8951
_cell_angle_alpha 90.00
_cell_angle_beta 90.00
_cell_angle_gamma 90.00
loop_
_atom_site_label
_atom_site_type_symbol
_atom_site_fract_x
_atom_site_fract_y
_atom_site_fract_z
_atom_site_occupancy
Hg1 Hg 0.0000 0.0000 0.0000 1
Pd1 Pd 0.1650 0.2500 0.6250 1
Cl1 Cl 0.0000 0.0000 0.5000 1

---

(9)
# HgPd2Cl PBE-GGA optimized geometry
# distance to the lowest polymorph of the same formula: 0.000 eV/f.u.
data_HgPd2Cl
_chemical_formula_sum 'Hg4 Pd8 Cl4'
_symmetry_space_group_name_H-M 'F m -3 m'
_symmetry_Int_Tables_number 225
_symmetry_space_group_name_Hall '-F 4 2 3'
_cell_length_a 6.6163
_cell_length_b 6.6163
_cell_length_c 6.6163
_cell_angle_alpha 90.00
_cell_angle_beta 90.00
_cell_angle_gamma 90.00
loop_
_atom_site_label
_atom_site_type_symbol
_atom_site_fract_x
_atom_site_fract_y
_atom_site_fract_z
_atom_site_occupancy
Hg1 Hg 0.0000 0.0000 0.0000 1
Pd1 Pd 0.2500 0.2500 0.2500 1
Cl1 Cl 0.0000 0.0000 0.5000 1

---

(10)
HgPdCl4: optimized geometry, PBE-GGA.

```
data_HgPdCl4
_chemical_formula_sum 'Hg2 Pd2 Cl8'
_symmetry_space_group_name_H-M 'P 1 21/c 1'
_symmetry_Int_Tables_number 14
_symmetry_space_group_name_Hall '-P 2ybc'
_cell_length_a 6.3618
_cell_length_b 4.2537
_cell_length_c 13.5102
_cell_angle_alpha 90.00
_cell_angle_beta 114.60
_cell_angle_gamma 90.00
loop_
_atom_site_label
_atom_site_type_symbol
_atom_site_fract_x
_atom_site_fract_y
_atom_site_fract_z
_atom_site_occupancy
Hg1 Hg 0.0000 0.0000 0.0000 1
Pd1 Pd 0.5000 0.0000 0.5000 1
Cl1 Cl 0.2129 0.1675 0.8830 1
Cl2 Cl 0.3143 0.5021 0.1157 1
```

---

(11)
Hg12Pd3Cl5: optimized geometry, PBE-GGA.

```
data_Hg12Pd3Cl5
_chemical_formula_sum 'Hg96 Pd24 Cl40'
_symmetry_space_group_name_H-M 'I a -3 d'
_symmetry_Int_Tables_number 230
_symmetry_space_group_name_Hall '-I 4bd 2c 3'
_cell_length_a 16.6484
_cell_length_b 16.6484
_cell_length_c 16.6484
_cell_angle_alpha 90.00
_cell_angle_beta 90.00
_cell_angle_gamma 90.00
loop_
_atom_site_label
_atom_site_type_symbol
_atom_site_fract_x
_atom_site_fract_y
_atom_site_fract_z
_atom_site_occupancy
Hg1 Hg 0.0199 0.0926 0.6524 1
Pd1 Pd 0.0000 0.2500 0.1250 1
Cl1 Cl 0.0000 0.0000 0.0000 1
Cl2 Cl 0.0000 0.2500 0.3750 1
```

---

(12)
# HgPd3Cl PBE-GGA optimized geometry
# distance to the lowest polymorph of the same formula: 2.764 eV/f.u.
data_HgPd3Cl
_chemical_formula_sum 'Hg1 Pd3 Cl1'
_symmetry_space_group_name_H-M 'P m -3 m'
_symmetry_Int_Tables_number 221
_symmetry_space_group_name_Hall '-P 4 2 3'
_cell_length_a 5.1158
_cell_length_b 5.1158
_cell_length_c 5.1158
_cell_angle_alpha 90.00
_cell_angle_beta 90.00
_cell_angle_gamma 90.00
loop_
_atom_site_label
_atom_site_type_symbol
_atom_site_fract_x
_atom_site_fract_y
_atom_site_fract_z
_atom_site_occupancy
Hg1 Hg 0.0000 0.0000 0.0000 1
Pd1 Pd 0.0000 0.0000 0.5000 1
Cl1 Cl 0.5000 0.5000 0.5000 1

---

(13)
# Hg2PdCl6 PBE-GGA optimized geometry
# distance to the lowest polymorph of the same formula: 0.087 eV/f.u.
data_Hg2PdCl6
_chemical_formula_sum 'Hg8 Pd4 Cl24'
_symmetry_space_group_name_H-M 'C 1 2/c 1'
_symmetry_Int_Tables_number 15
_symmetry_space_group_name_Hall '-C 2yc'
_cell_length_a 12.1536
_cell_length_b 10.7703
_cell_length_c 8.0264
_cell_angle_alpha 90.00
_cell_angle_beta 92.88
_cell_angle_gamma 90.00
loop_
_atom_site_label
_atom_site_type_symbol
_atom_site_fract_x
_atom_site_fract_y
_atom_site_fract_z
_atom_site_occupancy
Hg1 Hg 0.1853 0.0606 0.2016 1
Pd1 Pd 0.0000 0.3986 0.2500 1
Cl1 Cl 0.1109 0.4437 0.8659 1
Cl2 Cl 0.1171 0.1026 0.8971 1
Cl3 Cl 0.1199 0.2523 0.3707 1

---

(14)
# Hg2PdCl6 PBE-GGA optimized geometry
# distance to the lowest polymorph of the same formula: 0.000 eV/f.u.
data_Hg2PdCl6
_chemical_formula_sum 'Hg4 Pd2 Cl12'
_symmetry_space_group_name_H-M 'P 1 21/c 1'
_symmetry_Int_Tables_number 14
_symmetry_space_group_name_Hall '-P 2ybc'
_cell_length_a 8.0216
_cell_length_b 8.6600
_cell_length_c 10.3228
_cell_angle_alpha 90.00
_cell_angle_beta 124.40
_cell_angle_gamma 90.00
loop_
_atom_site_label
_atom_site_type_symbol
_atom_site_fract_x
_atom_site_fract_y
_atom_site_fract_z
_atom_site_occupancy
Hg1 Hg 0.1808 0.1117 0.1931 1
Pd1 Pd 0.0000 0.0000 0.5000 1
Cl1 Cl 0.1740 0.1127 0.7479 1
Cl2 Cl 0.2352 0.6129 0.5880 1
Cl3 Cl 0.2744 0.0496 0.4873 1

---

(15)
Hg4PdCl2: optimized geometry, PBE-GGA.

```
data_Hg4PdCl2
_chemical_formula_sum 'Hg8 Pd2 Cl4'
_symmetry_space_group_name_H-M 'I 4/m m m'
_symmetry_Int_Tables_number 139
_symmetry_space_group_name_Hall '-I 4 2'
_cell_length_a 5.3084
_cell_length_b 5.3084
_cell_length_c 15.2042
_cell_angle_alpha 90.00
_cell_angle_beta 90.00
_cell_angle_gamma 90.00
loop_
_atom_site_label
_atom_site_type_symbol
_atom_site_fract_x
_atom_site_fract_y
_atom_site_fract_z
_atom_site_occupancy
Hg1 Hg 0.0000 0.0000 0.1717 1
Hg2 Hg 0.0000 0.5000 0.0000 1
Pd1 Pd 0.0000 0.0000 0.0000 1
Cl1 Cl 0.0000 0.0000 0.3361 1
```

---

(16)
HgPdCl: optimized geometry, PBE-GGA.

```
data_HgPdCl
_chemical_formula_sum 'Hg4 Pd4 Cl4'
_symmetry_space_group_name_H-M 'A m m 2'
_symmetry_Int_Tables_number 38
_symmetry_space_group_name_Hall 'A 2 -2'
_cell_length_a 12.4393
_cell_length_b 3.5282
_cell_length_c 5.8228
_cell_angle_alpha 90.00
_cell_angle_beta 90.00
_cell_angle_gamma 90.00
loop_
_atom_site_label
_atom_site_type_symbol
_atom_site_fract_x
_atom_site_fract_y
_atom_site_fract_z
_atom_site_occupancy
Hg1 Hg 0.0000 0.0000 0.0000 1
Hg2 Hg 0.5000 0.0000 0.1087 1
Pd1 Pd 0.3412 0.0000 0.7661 1
Cl1 Cl 0.2100 0.0000 0.4230 1
```

---

(17)
HgPdCl6: optimized geometry, PBE-GGA.

```
data_HgPdCl6
_chemical_formula_sum 'Hg2 Pd2 Cl12'
_symmetry_space_group_name_H-M 'C 1 2/m 1'
_symmetry_Int_Tables_number 12
_symmetry_space_group_name_Hall '-C 2y'
_cell_length_a 6.4629
_cell_length_b 11.2437
_cell_length_c 6.4157
_cell_angle_alpha 90.00
_cell_angle_beta 109.22
_cell_angle_gamma 90.00
loop_
_atom_site_label
_atom_site_type_symbol
_atom_site_fract_x
_atom_site_fract_y
_atom_site_fract_z
_atom_site_occupancy
Hg1 Hg 0.0000 0.0000 0.0000 1
Pd1 Pd 0.0000 0.5000 0.5000 1
Cl1 Cl 0.2216 0.3531 0.7261 1
Cl2 Cl 0.2266 0.5000 0.2769 1
```

---

(18)
# HgPd3Cl PBE-GGA optimized geometry
# distance to the lowest polymorph of the same formula: 0.000 eV/f.u.
data_HgPd3Cl
_chemical_formula_sum 'Hg1 Pd3 Cl1'
_symmetry_space_group_name_H-M 'P m -3 m'
_symmetry_Int_Tables_number 221
_symmetry_space_group_name_Hall '-P 4 2 3'
_cell_length_a 4.6182
_cell_length_b 4.6182
_cell_length_c 4.6182
_cell_angle_alpha 90.00
_cell_angle_beta 90.00
_cell_angle_gamma 90.00
loop_
_atom_site_label
_atom_site_type_symbol
_atom_site_fract_x
_atom_site_fract_y
_atom_site_fract_z
_atom_site_occupancy
Hg1 Hg 0.0000 0.0000 0.0000 1
Pd1 Pd 0.0000 0.5000 0.5000 1
Cl1 Cl 0.5000 0.5000 0.5000 1

---

(19)
Hg7PdCl12: optimized geometry, PBE-GGA.

```
data_Hg7PdCl12
_chemical_formula_sum 'Hg21 Pd3 Cl36'
_symmetry_space_group_name_H-M 'R -3'
_symmetry_Int_Tables_number 148
_symmetry_space_group_name_Hall '-R 3'
_cell_length_a 14.6358
_cell_length_b 14.6358
_cell_length_c 9.8642
_cell_angle_alpha 90.00
_cell_angle_beta 90.00
_cell_angle_gamma 120.00
loop_
_atom_site_label
_atom_site_type_symbol
_atom_site_fract_x
_atom_site_fract_y
_atom_site_fract_z
_atom_site_occupancy
Hg1 Hg 0.0000 0.0000 0.0000 1
Hg2 Hg 0.0570 0.8785 0.3388 1
Pd1 Pd 0.0000 0.0000 0.5000 1
Cl1 Cl 0.0374 0.4463 0.1364 1
Cl2 Cl 0.0864 0.1723 0.8352 1
```

---

The following formation energy without anion corrections values (in eV/atom) correspond, in order, to the records above: -0.92; -1.00; -0.93; -0.97; -0.93; -0.25; -0.20; 0.15; 0.12; -0.50; -0.14; 0.89; -0.50; -0.51; -0.28; -0.07; -0.37; 0.34; -0.42.